1:
Entry from the Alexandria database: an optimized crystal structure of Li7MgTl4 (GGA-PBE).

Its density of states at the Fermi level is 3.93 states/eV per cell. As for the crystal system: monoclinic. As for the symmetry: C2/m (12). As for the total moment: 0.0 μB/cell.

a b c (Å): 7.473 7.473 8.441
angles (deg): 120.15 120.15 39.88
Atoms (fractional coordinates):
Li  0.000  0.000  0.000
Li  0.251  0.251  0.720
Li  0.299  0.299  0.120
Li  0.422  0.422  0.575
Li  0.578  0.578  0.425
Li  0.701  0.701  0.880
Li  0.749  0.749  0.280
Mg  0.500  0.500  0.000
Tl  0.061  0.061  0.730
Tl  0.185  0.185  0.337
Tl  0.815  0.815  0.663
Tl  0.939  0.939  0.270



2:
Entry from the Alexandria database: an optimized crystal structure of Li7MgTl4 (GGA-PBE).

Its density of states at the Fermi level is 3.10 states/eV per cell. As for the crystal system: triclinic. As for the symmetry: P-1 (2). As for the total moment: 0.0 μB/cell.

a b c (Å): 5.954 5.955 7.327
angles (deg): 85.05 76.24 77.80
Atoms (fractional coordinates):
Li  0.000  0.000  0.000
Li  0.158  0.601  0.357
Li  0.332  0.156  0.655
Li  0.485  0.750  0.020
Li  0.515  0.250  0.980
Li  0.668  0.844  0.345
Li  0.842  0.399  0.643
Mg  0.000  0.500  0.000
Tl  0.181  0.088  0.308
Tl  0.358  0.646  0.687
Tl  0.642  0.354  0.313
Tl  0.819  0.912  0.692



Which of them is least stable? Easy: 1.



1:
Entry from the Alexandria database: an optimized crystal structure of LiMg5Tl3 (GGA-PBE).

Its density of states at the Fermi level is 4.69 states/eV per cell. As for the crystal system: hexagonal. As for the symmetry: P6_3/mcm (193). As for the total moment: 0.0 μB/cell.

a b c (Å): 8.772 8.772 6.281
angles (deg): 90.00 90.00 120.00
Atoms (fractional coordinates):
Li  0.000  0.000  0.000
Li  0.000  0.000  0.500
Mg  0.000  0.333  0.250
Mg  0.000  0.667  0.750
Mg  0.333  0.000  0.250
Mg  0.333  0.333  0.750
Mg  0.333  0.667  0.000
Mg  0.333  0.667  0.500
Mg  0.667  0.000  0.750
Mg  0.667  0.333  0.000
Mg  0.667  0.333  0.500
Mg  0.667  0.667  0.250
Tl  0.000  0.331  0.750
Tl  0.000  0.669  0.250
Tl  0.331  0.000  0.750
Tl  0.331  0.331  0.250
Tl  0.669  0.000  0.250
Tl  0.669  0.669  0.750



2:
Entry from the Alexandria database: an optimized crystal structure of LiMg5Tl3 (GGA-PBE).

Its density of states at the Fermi level is 5.22 states/eV per cell. As for the crystal system: monoclinic. As for the symmetry: C2/m (12). As for the total moment: 0.0 μB/cell.

a b c (Å): 7.182 7.182 10.801
angles (deg): 108.03 108.03 88.67
Atoms (fractional coordinates):
Li  0.080  0.080  0.286
Li  0.920  0.920  0.714
Mg  0.030  0.582  0.878
Mg  0.273  0.727  0.500
Mg  0.309  0.309  0.583
Mg  0.418  0.970  0.122
Mg  0.459  0.459  0.114
Mg  0.541  0.541  0.886
Mg  0.582  0.030  0.878
Mg  0.691  0.691  0.417
Mg  0.727  0.273  0.500
Mg  0.970  0.418  0.122
Tl  0.000  0.000  0.000
Tl  0.000  0.000  0.500
Tl  0.219  0.219  0.833
Tl  0.357  0.357  0.321
Tl  0.643  0.643  0.679
Tl  0.781  0.781  0.167



Which of them is least stable? Easy: 2.



1:
Entry from the Alexandria database: an optimized crystal structure of LiMg3Tl2 (GGA-PBE).

Its density of states at the Fermi level is 3.48 states/eV per cell. As for the crystal system: monoclinic. As for the symmetry: C2/m (12). As for the total moment: 0.0 μB/cell.

a b c (Å): 8.371 8.371 9.265
angles (deg): 121.97 121.97 30.82
Atoms (fractional coordinates):
Li  0.081  0.081  0.202
Li  0.919  0.919  0.798
Mg  0.080  0.080  0.701
Mg  0.241  0.241  0.112
Mg  0.409  0.409  0.532
Mg  0.591  0.591  0.468
Mg  0.759  0.759  0.888
Mg  0.920  0.920  0.299
Tl  0.255  0.255  0.643
Tl  0.426  0.426  0.073
Tl  0.574  0.574  0.927
Tl  0.745  0.745  0.357



2:
Entry from the Alexandria database: an optimized crystal structure of LiMg3Tl2 (GGA-PBE).

Its density of states at the Fermi level is 2.78 states/eV per cell. As for the crystal system: orthorhombic. As for the symmetry: Pmm2 (25). As for the total moment: 0.0 μB/cell.

a b c (Å): 3.289 5.075 8.559
angles (deg): 90.00 90.00 90.00
Atoms (fractional coordinates):
Li  0.000  0.000  0.000
Mg  0.000  0.000  0.332
Mg  0.000  0.500  0.508
Mg  0.000  0.500  0.851
Tl  0.500  0.000  0.677
Tl  0.500  0.500  0.172



Which of them is least stable? Easy: 2.



1:
Entry from the Alexandria database: an optimized crystal structure of LiMgTl4 (GGA-PBE).

Its density of states at the Fermi level is 2.64 states/eV per cell. As for the crystal system: monoclinic. As for the symmetry: C2/m (12). As for the total moment: 0.0 μB/cell.

a b c (Å): 4.934 4.934 8.371
angles (deg): 106.40 106.40 59.61
Atoms (fractional coordinates):
Li  0.000  0.000  0.000
Mg  0.500  0.500  0.500
Tl  0.123  0.123  0.362
Tl  0.368  0.368  0.108
Tl  0.632  0.632  0.892
Tl  0.877  0.877  0.638



2:
Entry from the Alexandria database: an optimized crystal structure of LiMgTl4 (GGA-PBE).

Its density of states at the Fermi level is 2.44 states/eV per cell. As for the crystal system: monoclinic. As for the symmetry: C2/m (12). As for the total moment: 0.0 μB/cell.

a b c (Å): 6.697 6.697 7.132
angles (deg): 104.44 104.44 30.44
Atoms (fractional coordinates):
Li  0.000  0.000  0.000
Mg  0.000  0.000  0.500
Tl  0.343  0.343  0.679
Tl  0.347  0.347  0.170
Tl  0.653  0.653  0.830
Tl  0.657  0.657  0.321



Which of them is least stable? Easy: 1.



1:
Entry from the Alexandria database: an optimized crystal structure of Li4Mg3Tl2 (GGA-PBE).

Its density of states at the Fermi level is 1.64 states/eV per cell. As for the crystal system: trigonal. As for the symmetry: P-3m1 (164). As for the total moment: 0.0 μB/cell.

a b c (Å): 4.848 4.848 8.795
angles (deg): 90.00 90.00 120.00
Atoms (fractional coordinates):
Li  0.000  0.000  0.169
Li  0.000  0.000  0.831
Li  0.333  0.667  0.607
Li  0.667  0.333  0.393
Mg  0.000  0.000  0.500
Mg  0.333  0.667  0.934
Mg  0.667  0.333  0.066
Tl  0.333  0.667  0.279
Tl  0.667  0.333  0.721



2:
Entry from the Alexandria database: an optimized crystal structure of Li4Mg3Tl2 (GGA-PBE).

Its density of states at the Fermi level is 2.91 states/eV per cell. As for the crystal system: triclinic. As for the symmetry: P-1 (2). As for the total moment: 0.0 μB/cell.

a b c (Å): 4.876 5.697 7.611
angles (deg): 77.69 88.44 65.10
Atoms (fractional coordinates):
Li  0.125  0.260  0.144
Li  0.323  0.852  0.488
Li  0.677  0.148  0.512
Li  0.875  0.740  0.856
Mg  0.000  0.500  0.500
Mg  0.454  0.602  0.180
Mg  0.546  0.398  0.820
Tl  0.226  0.039  0.812
Tl  0.774  0.961  0.188



Which of them is least stable? Easy: 2.



1:
Entry from the Alexandria database: an optimized crystal structure of Li8MgTl2 (GGA-PBE).

Its density of states at the Fermi level is 3.08 states/eV per cell. As for the crystal system: monoclinic. As for the symmetry: C2/m (12). As for the total moment: 0.0 μB/cell.

a b c (Å): 8.147 8.147 4.960
angles (deg): 107.41 107.41 123.85
Atoms (fractional coordinates):
Li  0.096  0.362  0.729
Li  0.208  0.792  0.000
Li  0.362  0.096  0.729
Li  0.494  0.494  0.257
Li  0.506  0.506  0.743
Li  0.638  0.904  0.271
Li  0.792  0.208  0.000
Li  0.904  0.638  0.271
Mg  0.000  0.000  0.000
Tl  0.318  0.682  0.500
Tl  0.682  0.318  0.500



2:
Entry from the Alexandria database: an optimized crystal structure of Li8MgTl2 (GGA-PBE).

Its density of states at the Fermi level is 4.99 states/eV per cell. As for the crystal system: monoclinic. As for the symmetry: C2/m (12). As for the total moment: 0.0 μB/cell.

a b c (Å): 7.294 7.294 7.477
angles (deg): 119.72 119.72 39.02
Atoms (fractional coordinates):
Li  0.039  0.039  0.226
Li  0.143  0.143  0.706
Li  0.316  0.316  0.601
Li  0.398  0.398  0.038
Li  0.602  0.602  0.962
Li  0.684  0.684  0.399
Li  0.857  0.857  0.294
Li  0.961  0.961  0.774
Mg  0.500  0.500  0.500
Tl  0.224  0.224  0.159
Tl  0.776  0.776  0.841



Which of them is least stable? Easy: 1.



1:
Entry from the Alexandria database: an optimized crystal structure of Li2Mg8Tl (GGA-PBE).

Its density of states at the Fermi level is 3.24 states/eV per cell. As for the crystal system: monoclinic. As for the symmetry: C2/m (12). As for the total moment: 0.0 μB/cell.

a b c (Å): 8.464 8.464 6.462
angles (deg): 98.16 98.16 32.04
Atoms (fractional coordinates):
Li  0.135  0.135  0.178
Li  0.865  0.865  0.822
Mg  0.044  0.044  0.729
Mg  0.223  0.223  0.628
Mg  0.317  0.317  0.083
Mg  0.407  0.407  0.555
Mg  0.593  0.593  0.445
Mg  0.683  0.683  0.917
Mg  0.777  0.777  0.372
Mg  0.956  0.956  0.271
Tl  0.500  0.500  0.000



2:
Entry from the Alexandria database: an optimized crystal structure of Li2Mg8Tl (GGA-PBE).

Its density of states at the Fermi level is 3.32 states/eV per cell. As for the crystal system: tetragonal. As for the symmetry: P4/mmm (123). As for the total moment: 0.0 μB/cell.

a b c (Å): 4.909 4.909 10.515
angles (deg): 90.00 90.00 90.00
Atoms (fractional coordinates):
Li  0.000  0.000  0.176
Li  0.000  0.000  0.824
Mg  0.000  0.500  0.000
Mg  0.000  0.500  0.344
Mg  0.000  0.500  0.656
Mg  0.500  0.000  0.000
Mg  0.500  0.000  0.344
Mg  0.500  0.000  0.656
Mg  0.500  0.500  0.167
Mg  0.500  0.500  0.833
Tl  0.000  0.000  0.500



Which of them is least stable? Easy: 2.



1:
Entry from the Alexandria database: an optimized crystal structure of Li3MgTl2 (GGA-PBE).

Its density of states at the Fermi level is 2.19 states/eV per cell. As for the crystal system: tetragonal. As for the symmetry: P4/mmm (123). As for the total moment: 0.0 μB/cell.

a b c (Å): 3.484 3.484 10.167
angles (deg): 90.00 90.00 90.00
Atoms (fractional coordinates):
Li  0.000  0.000  0.000
Li  0.000  0.000  0.327
Li  0.000  0.000  0.673
Mg  0.500  0.500  0.500
Tl  0.500  0.500  0.171
Tl  0.500  0.500  0.829



2:
Entry from the Alexandria database: an optimized crystal structure of Li3MgTl2 (GGA-PBE).

Its density of states at the Fermi level is 1.19 states/eV per cell. As for the crystal system: orthorhombic. As for the symmetry: Pmm2 (25). As for the total moment: 0.0 μB/cell.

a b c (Å): 3.071 4.795 8.337
angles (deg): 90.00 90.00 90.00
Atoms (fractional coordinates):
Li  0.000  0.000  0.000
Li  0.000  0.000  0.321
Li  0.000  0.500  0.842
Mg  0.000  0.500  0.498
Tl  0.500  0.000  0.675
Tl  0.500  0.500  0.160



Which of them is least stable? Easy: 2.